# SCAN NbGaGe2Bi, PBEsol geometry
# * Fermi-level density of states: 4.94 states/eV/f.u.
# * raw total energy: -158.23 eV/cell
# * ΔH_f (0 K): 1.60 eV/atom
# * total moment: 3.53 μB/cell
# * calculated density: 5.9 g/cm3
data_NbGaGe2Bi
_symmetry_space_group_name_H-M 'P 1'
_symmetry_Int_Tables_number 1
_cell_length_a 5.262
_cell_length_b 5.277
_cell_length_c 5.277
_cell_angle_alpha 90.00
_cell_angle_beta 90.00
_cell_angle_gamma 90.00
loop_
_symmetry_equiv_pos_as_xyz
'x,y,z'
loop_
_atom_site_label
_atom_site_fract_x
_atom_site_fract_y
_atom_site_fract_z
_atom_site_occupancy
Nb1 0.500 0.500 0.500 1
Ge1 0.000 0.000 0.500 1
Ge2 0.000 0.500 0.000 1
Bi1 0.000 0.000 0.000 1
Ga1 0.500 0.000 0.000 1


# SCAN HfZr2GaBi, PBEsol geometry
# * Fermi-level density of states: 3.77 states/eV/f.u.
# * raw total energy: -215.92 eV/cell
# * ΔH_f (0 K): 0.62 eV/atom
# * total moment: 0.00 μB/cell
# * calculated density: 8.4 g/cm3
data_HfZr2GaBi
_symmetry_space_group_name_H-M 'P 1'
_symmetry_Int_Tables_number 1
_cell_length_a 4.961
_cell_length_b 4.961
_cell_length_c 5.162
_cell_angle_alpha 90.00
_cell_angle_beta 90.00
_cell_angle_gamma 90.00
loop_
_symmetry_equiv_pos_as_xyz
'x,y,z'
loop_
_atom_site_label
_atom_site_fract_x
_atom_site_fract_y
_atom_site_fract_z
_atom_site_occupancy
Ga1 0.000 0.000 0.000 1
Hf1 0.500 0.500 0.500 1
Bi1 0.000 0.000 0.500 1
Zr1 0.000 0.500 0.000 1
Zr2 0.500 0.000 0.000 1


# SCAN Ga3HgBi, PBEsol geometry
# * Fermi-level density of states: 2.69 states/eV/f.u.
# * raw total energy: -193.62 eV/cell
# * ΔH_f (0 K): 0.43 eV/atom
# * total moment: 0.00 μB/cell
# * energy above the lowest structure with this stoichiometry: 0 meV/atom
# * calculated density: 7.8 g/cm3
data_Ga3HgBi
_symmetry_space_group_name_H-M 'P 1'
_symmetry_Int_Tables_number 1
_cell_length_a 5.084
_cell_length_b 5.084
_cell_length_c 5.084
_cell_angle_alpha 90.00
_cell_angle_beta 90.00
_cell_angle_gamma 90.00
loop_
_symmetry_equiv_pos_as_xyz
'x,y,z'
loop_
_atom_site_label
_atom_site_fract_x
_atom_site_fract_y
_atom_site_fract_z
_atom_site_occupancy
Bi1 0.500 0.500 0.500 1
Ga1 0.000 0.500 0.000 1
Ga2 0.000 0.000 0.500 1
Ga3 0.500 0.000 0.000 1
Hg1 0.000 0.000 0.000 1


# SCAN GaBiI3, PBEsol geometry
# * Fermi-level density of states: 2.60 states/eV/f.u.
# * raw total energy: -205.20 eV/cell
# * total moment: 0.00 μB/cell
# * energy above the lowest structure with this stoichiometry: 0 meV/atom
# * ΔE_f (raw): -0.009 eV/atom
# * calculated density: 4.7 g/cm3
data_GaBiI3
_symmetry_space_group_name_H-M 'P 1'
_symmetry_Int_Tables_number 1
_cell_length_a 6.132
_cell_length_b 6.132
_cell_length_c 6.132
_cell_angle_alpha 90.00
_cell_angle_beta 90.00
_cell_angle_gamma 90.00
loop_
_symmetry_equiv_pos_as_xyz
'x,y,z'
loop_
_atom_site_label
_atom_site_fract_x
_atom_site_fract_y
_atom_site_fract_z
_atom_site_occupancy
I1 0.000 0.500 0.000 1
I2 0.000 0.000 0.500 1
I3 0.500 0.000 0.000 1
Bi1 0.000 0.000 0.000 1
Ga1 0.500 0.500 0.500 1


# SCAN GaBiI3, PBEsol geometry
# * Fermi-level density of states: 3.52 states/eV/f.u.
# * raw total energy: -204.16 eV/cell
# * total moment: 0.00 μB/cell
# * energy above the lowest structure with this stoichiometry: 207 meV/atom
# * ΔE_f (raw): 0.198 eV/atom
# * calculated density: 6.6 g/cm3
data_GaBiI3
_symmetry_space_group_name_H-M 'P 1'
_symmetry_Int_Tables_number 1
_cell_length_a 5.503
_cell_length_b 5.503
_cell_length_c 5.503
_cell_angle_alpha 90.00
_cell_angle_beta 90.00
_cell_angle_gamma 90.00
loop_
_symmetry_equiv_pos_as_xyz
'x,y,z'
loop_
_atom_site_label
_atom_site_fract_x
_atom_site_fract_y
_atom_site_fract_z
_atom_site_occupancy
I1 0.000 0.500 0.000 1
I2 0.000 0.000 0.500 1
I3 0.500 0.000 0.000 1
Bi1 0.500 0.500 0.500 1
Ga1 0.000 0.000 0.000 1


# SCAN GaBiI2N, PBEsol geometry
# * Fermi-level density of states: 3.90 states/eV/f.u.
# * raw total energy: -175.15 eV/cell
# * total moment: 0.51 μB/cell
# * ΔE_f (raw): 0.509 eV/atom
# * calculated density: 7.3 g/cm3
data_GaBiI2N
_symmetry_space_group_name_H-M 'P 1'
_symmetry_Int_Tables_number 1
_cell_length_a 3.569
_cell_length_b 5.896
_cell_length_c 5.896
_cell_angle_alpha 90.00
_cell_angle_beta 90.00
_cell_angle_gamma 90.00
loop_
_symmetry_equiv_pos_as_xyz
'x,y,z'
loop_
_atom_site_label
_atom_site_fract_x
_atom_site_fract_y
_atom_site_fract_z
_atom_site_occupancy
I1 0.000 0.000 0.500 1
I2 0.000 0.500 0.000 1
Bi1 0.500 0.500 0.500 1
Ga1 0.000 0.000 0.000 1
N1 0.500 0.000 0.000 1


# SCAN Ga2NiBiI, PBEsol geometry
# * Fermi-level density of states: 4.85 states/eV/f.u.
# * raw total energy: -157.14 eV/cell
# * total moment: 1.22 μB/cell
# * ΔE_f (raw): 1.410 eV/atom
# * calculated density: 4.8 g/cm3
data_Ga2NiBiI
_symmetry_space_group_name_H-M 'P 1'
_symmetry_Int_Tables_number 1
_cell_length_a 5.637
_cell_length_b 5.637
_cell_length_c 5.838
_cell_angle_alpha 90.00
_cell_angle_beta 90.00
_cell_angle_gamma 90.00
loop_
_symmetry_equiv_pos_as_xyz
'x,y,z'
loop_
_atom_site_label
_atom_site_fract_x
_atom_site_fract_y
_atom_site_fract_z
_atom_site_occupancy
I1 0.000 0.000 0.000 1
Ni1 0.500 0.500 0.500 1
Bi1 0.000 0.000 0.500 1
Ga1 0.000 0.500 0.000 1
Ga2 0.500 0.000 0.000 1


# SCAN Ga2BiPtI, PBEsol geometry
# * Fermi-level density of states: 3.03 states/eV/f.u.
# * raw total energy: -212.13 eV/cell
# * total moment: 0.92 μB/cell
# * ΔE_f (raw): 1.215 eV/atom
# * calculated density: 6.5 g/cm3
data_Ga2BiPtI
_symmetry_space_group_name_H-M 'P 1'
_symmetry_Int_Tables_number 1
_cell_length_a 5.425
_cell_length_b 5.425
_cell_length_c 5.829
_cell_angle_alpha 90.00
_cell_angle_beta 90.00
_cell_angle_gamma 90.00
loop_
_symmetry_equiv_pos_as_xyz
'x,y,z'
loop_
_atom_site_label
_atom_site_fract_x
_atom_site_fract_y
_atom_site_fract_z
_atom_site_occupancy
I1 0.000 0.000 0.500 1
Ga1 0.000 0.500 0.000 1
Ga2 0.500 0.000 0.000 1
Bi1 0.000 0.000 0.000 1
Pt1 0.500 0.500 0.500 1